## CsNaHf3 (GGA-PBE)

Data for a relaxed CsNaHf3 crystal.

Lattice parameters (Å, degrees): 5.425 5.425 5.425 90.00 90.00 90.00
Positions (direct):
Cs 0.000 0.000 0.000
Na 0.500 0.500 0.500
Hf 0.000 0.000 0.500
Hf 0.000 0.500 0.000
Hf 0.500 0.000 0.000

Values from the calculation:
DFT total energy: -20.99 eV per formula unit
Density of states at the Fermi level: 0.9839 states/eV/atom
ΔE to the lowest computed polymorph: 0.287 eV/atom


## NaZnBN2 (GGA-PBE)

Data for a relaxed NaZnBN2 crystal.

Lattice parameters (Å, degrees): 4.353 4.353 5.306 90.00 90.00 90.00
Positions (direct):
Na 0.000 0.000 0.000
Zn 0.000 0.000 0.500
B 0.500 0.500 0.500
N 0.000 0.500 0.000
N 0.500 0.000 0.000

Values from the calculation:
DFT total energy: -11.91 eV per formula unit
E_form (uncorrected): 2803 meV per atom
Density of states at the Fermi level: 0.5090 states/eV/atom


## RbRuRh (GGA-PBE)

Data for a relaxed RbRuRh crystal.

Lattice parameters (Å, degrees): 8.287 4.343 8.027 90.00 90.00 90.00
Positions (direct):
Rb 0.002 0.250 0.157
Rb 0.498 0.750 0.657
Rb 0.502 0.250 0.343
Rb 0.998 0.750 0.843
Ru 0.144 0.750 0.430
Ru 0.356 0.250 0.930
Ru 0.644 0.750 0.070
Ru 0.856 0.250 0.570
Rh 0.146 0.250 0.570
Rh 0.354 0.750 0.070
Rh 0.646 0.250 0.930
Rh 0.854 0.750 0.430

Values from the calculation:
DFT total energy: -15.09 eV per formula unit
Density of states at the Fermi level: 0.7495 states/eV/atom
ΔE to the lowest computed polymorph: 0.348 eV/atom


## Cr2SiAg (GGA-PBE)

Data for a relaxed Cr2SiAg crystal.

Lattice parameters (Å, degrees): 3.784 3.784 3.831 90.00 90.00 90.00
Positions (direct):
Cr 0.000 0.500 0.000
Cr 0.500 0.000 0.000
Si 0.000 0.000 0.500
Ag 0.500 0.500 0.500

Values from the calculation:
DFT total energy: -25.93 eV per formula unit
E_form (uncorrected): 397 meV per atom
Density of states at the Fermi level: 1.3609 states/eV/atom


## SrLiMg2Pb4 (GGA-PBE)

Data for a relaxed SrLiMg2Pb4 crystal.

Lattice parameters (Å, degrees): 9.562 9.562 9.562 32.18 32.18 32.18
Positions (direct):
Sr 0.000 0.000 0.000
Li 0.500 0.500 0.500
Mg 0.249 0.249 0.249
Mg 0.751 0.751 0.751
Pb 0.131 0.131 0.131
Pb 0.387 0.387 0.387
Pb 0.613 0.613 0.613
Pb 0.869 0.869 0.869

Values from the calculation:
DFT total energy: -23.48 eV per formula unit
Density of states at the Fermi level: 0.5840 states/eV/atom


## MgAgRu2 (GGA-PBE)

Data for a relaxed MgAgRu2 crystal.

Lattice parameters (Å, degrees): 2.776 2.776 28.093 90.00 90.00 120.00
Positions (direct):
Mg 0.000 0.000 0.000
Mg 0.333 0.667 0.667
Mg 0.667 0.333 0.333
Ag 0.000 0.000 0.500
Ag 0.333 0.667 0.167
Ag 0.667 0.333 0.833
Ru 0.000 0.000 0.253
Ru 0.000 0.000 0.747
Ru 0.333 0.667 0.414
Ru 0.333 0.667 0.920
Ru 0.667 0.333 0.080
Ru 0.667 0.333 0.586

Values from the calculation:
DFT total energy: -21.68 eV per formula unit
Density of states at the Fermi level: 0.6285 states/eV/atom


## VAg4 (GGA-PBE)

Data for a relaxed VAg4 crystal.

Lattice parameters (Å, degrees): 4.967 4.967 4.967 90.00 90.00 90.00
Positions (direct):
V 0.000 0.000 0.000
Ag 0.000 0.000 0.500
Ag 0.000 0.500 0.000
Ag 0.500 0.000 0.000
Ag 0.500 0.500 0.500

Values from the calculation:
DFT total energy: -14.53 eV per formula unit
Density of states at the Fermi level: 1.2368 states/eV/atom


## Sm4Dy15Al (GGA-PBE)

Data for a relaxed Sm4Dy15Al crystal.

Lattice parameters (Å, degrees): 4.966 4.966 25.129 90.00 90.00 90.00
Positions (direct):
Sm 0.000 0.000 0.102
Sm 0.000 0.000 0.305
Sm 0.000 0.000 0.695
Sm 0.000 0.000 0.898
Dy 0.000 0.500 0.000
Dy 0.000 0.500 0.204
Dy 0.000 0.500 0.407
Dy 0.000 0.500 0.593
Dy 0.000 0.500 0.796
Dy 0.500 0.000 0.000
Dy 0.500 0.000 0.204
Dy 0.500 0.000 0.407
Dy 0.500 0.000 0.593
Dy 0.500 0.000 0.796
Dy 0.500 0.500 0.102
Dy 0.500 0.500 0.307
Dy 0.500 0.500 0.500
Dy 0.500 0.500 0.693
Dy 0.500 0.500 0.898
Al 0.000 0.000 0.500

Values from the calculation:
DFT total energy: -91.85 eV per formula unit
Density of states at the Fermi level: 1.2076 states/eV/atom